Density functional theory data (PBE) for a relaxed AcHoTeSe crystal.

Calculated total energy   -21.53 eV/f.u.
SG   No. 160

a b c (Å): 4.214 4.215 8.223
angles (deg): 90.00 104.82 120.01
Atoms (fractional coordinates):
Ac 0.118 0.957 0.090
Se 0.287 0.542 0.844
Ho 0.488 0.142 0.646
Te 0.985 0.390 0.391

***

Density functional theory data (PBE) for a relaxed Ga3SeI crystal.

Calculated total energy   -13.70 eV/f.u.
SG   No. 221

a b c (Å): 5.622 5.622 5.622
angles (deg): 90.00 90.00 90.00
Atoms (fractional coordinates):
Ga 0.000 0.000 0.500
Ga 0.500 0.000 0.000
Ga 0.000 0.500 0.000
I 0.500 0.500 0.500
Se 0.000 0.000 0.000

***

Density functional theory data (PBE) for a relaxed TiAg2SbO6 crystal.

Calculated total energy   -60.45 eV/f.u.
SG   No. 12

a b c (Å): 5.496 5.625 5.510
angles (deg): 120.69 120.12 90.00
Each line ends with the local moment (μB).
Atoms (fractional coordinates):
O 0.802 0.804 0.106  0.10
O 0.350 0.752 0.504  0.03
O 0.650 0.248 0.496  0.03
O 0.198 0.196 0.894  0.10
O 0.802 0.302 0.106  0.10
O 0.198 0.698 0.894  0.10
Sb 0.000 0.500 0.000  -0.01
Ti 0.500 0.000 0.000  -0.03
Ag 0.768 0.749 0.498  0.17
Ag 0.232 0.251 0.502  0.17